Entry 1:
A geometry-optimized Li4Be3As3ClO12 structure, computed with PBE.

Calculated values
The uncorrected energy comes out at -6.06 eV/atom. The size of the total moment is 0.001 μB/atom. The calculation puts the density of states at the Fermi level at 0.000 states/eV per atom. The formation energy (no corrections) comes out at -1.97 eV per atom. Its volume is 12.66 A^3/atom.

Cell lengths 8.351, 8.351, 8.351 Å; angles 90.00, 90.00, 90.00 degrees
Space group P-43n (No. 218)
Unique sites:
Li  0.170  0.170  0.170 (multiplicity 8)
Be  0.000  0.250  0.500 (multiplicity 6)
As  0.000  0.500  0.250 (multiplicity 6)
Cl  0.000  0.000  0.000 (multiplicity 2)
O  0.094  0.357  0.635 (multiplicity 24)

=====

Entry 2:
A geometry-optimized BeAsP2Cl structure, computed with PBE.

Calculated values
The uncorrected energy comes out at -3.08 eV/atom. The size of the total moment is 0.000 μB/atom. The calculation puts the density of states at the Fermi level at 0.809 states/eV per atom. The formation energy (no corrections) comes out at 1.13 eV per atom. Its volume is 21.91 A^3/atom. As for the relative energy among the computed polymorphs: 594 meV/atom.

Cell lengths 4.756, 4.756, 4.844 Å; angles 90.00, 90.00, 90.00 degrees
Space group P4/mmm (No. 123)
Unique sites:
Be  0.000  0.000  0.000 (multiplicity 1)
As  0.500  0.500  0.500 (multiplicity 1)
P  0.000  0.500  0.500 (multiplicity 2)
Cl  0.500  0.500  0.000 (multiplicity 1)